CuCl2 after structural relaxation. Source: Alexandria, functional GGA-PBE.

Geometry as POSCAR:
```
CuCl2
1.0
-2.179 1.143 -3.609
1.573 -1.069 -3.932
-2.005 -3.050 -2.399
Cl Cu
2 1
Direct
0.250 0.250 0.250 Cl
0.750 0.750 0.750 Cl
0.000 0.000 0.000 Cu
```

Computed properties:
- SG: Fm-3m (225)
- N(E_F): 6.5 states/eV per cell
- VASP energy: -7.852 eV for the cell shown